Record 1
A geometry-optimized Nd2Ho5Er3 structure. Source: the Alexandria database, functional PBE-GGA.

As for the energy above the lowest structure with this stoichiometry: 0.221 eV per atom. As for the magnetization: 0.00 μB/cell. The density of states at the Fermi level comes out at 1.579 states/eV per atom. The calculation puts the volume at 1367 Å³ per cell. The value obtained for the formation energy is 402.8 kJ/mol of formula units.

The space group is Ibam (No. 72) and the conventional cell measures 9.3507, 21.6486 and 6.7525 Å, with angles of 90.00, 90.00 and 90.00 degrees. The inequivalent atoms are Nd at (0.1025, 0.1255, 0.0000), Ho at (0.0000, 0.2519, 0.2500), Ho at (0.0000, 0.5000, 0.2500), Ho at (0.0884, 0.3759, 0.5000), Er at (0.0000, 0.0000, 0.2500) and Er at (0.2504, 0.1247, 0.5000).

Record 2
A geometry-optimized Nd4Ho3Er8 structure. Source: the Alexandria database, functional PBE-GGA.

As for the energy above the lowest structure with this stoichiometry: 0.251 eV per atom. As for the magnetization: 0.02 μB/cell. The density of states at the Fermi level comes out at 1.984 states/eV per atom. The calculation puts the volume at 997 Å³ per cell. The value obtained for the formation energy is 538.5 kJ/mol of formula units.

The space group is C2/m (No. 12) and the conventional cell measures 13.3534, 12.8271 and 6.7195 Å, with angles of 90.00, 120.00 and 90.00 degrees. The inequivalent atoms are Nd at (0.0000, 0.0000, 0.0000), Nd at (0.0000, 0.0000, 0.5000), Nd at (0.2500, 0.2500, 0.0000), Ho at (0.0000, 0.5000, 0.0000), Ho at (0.2500, 0.2500, 0.5000), Er at (0.0000, 0.2552, 0.0000), Er at (0.0000, 0.3632, 0.5000), Er at (0.2297, 0.5000, 0.9638) and Er at (0.2323, 0.5000, 0.4874).

Record 3
A geometry-optimized NdHo2Er structure. Source: the Alexandria database, functional PBE-GGA.

As for the energy above the lowest structure with this stoichiometry: 0.134 eV per atom. As for the magnetization: 0.00 μB/cell. The density of states at the Fermi level comes out at 2.047 states/eV per atom. The calculation puts the volume at 516 Å³ per cell. The value obtained for the formation energy is 52.4 kJ/mol of formula units.

The space group is Fm-3m (No. 225) and the conventional cell measures 8.0229, 8.0229 and 8.0229 Å, with angles of 90.00, 90.00 and 90.00 degrees. The inequivalent atoms are Nd at (0.0000, 0.0000, 0.0000), Ho at (0.2500, 0.2500, 0.2500) and Er at (0.0000, 0.0000, 0.5000).

Record 4
A geometry-optimized Nd2Ho5Er12 structure. Source: the Alexandria database, functional PBE-GGA.

As for the energy above the lowest structure with this stoichiometry: 0.111 eV per atom. As for the magnetization: 0.00 μB/cell. The density of states at the Fermi level comes out at 1.426 states/eV per atom. The calculation puts the volume at 1214 Å³ per cell. The value obtained for the formation energy is 244.4 kJ/mol of formula units.

The space group is C2/m (No. 12) and the conventional cell measures 15.6808, 9.1635 and 8.4518 Å, with angles of 90.00, 91.16 and 90.00 degrees. The inequivalent atoms are Nd at (0.0000, 0.1853, 0.0000), Ho at (0.0000, 0.5000, 0.5000), Ho at (0.1975, 0.0000, 0.0083), Ho at (0.2327, 0.5000, 0.5769), Er at (0.0568, 0.0000, 0.3290), Er at (0.0937, 0.5000, 0.8829), Er at (0.1268, 0.1916, 0.6523) and Er at (0.1567, 0.3192, 0.2457).

Record 5
A geometry-optimized Nd10HoEr4 structure. Source: the Alexandria database, functional PBE-GGA.

As for the magnetization: 0.02 μB/cell. The density of states at the Fermi level comes out at 1.436 states/eV per atom. The calculation puts the volume at 1186 Å³ per cell. The value obtained for the formation energy is 990.1 kJ/mol of formula units.

The space group is I4/m (No. 87) and the conventional cell measures 12.3324, 12.3324 and 7.7983 Å, with angles of 90.00, 90.00 and 90.00 degrees. The inequivalent atoms are Nd at (0.0000, 0.5000, 0.2500), Nd at (0.0996, 0.7994, 0.2500), Ho at (0.0000, 0.0000, 0.0000) and Er at (0.1003, 0.2995, 0.5000).

Record 6
A geometry-optimized Nd2Ho9Er structure. Source: the Alexandria database, functional PBE-GGA.

As for the energy above the lowest structure with this stoichiometry: 0.049 eV per atom. As for the magnetization: 0.00 μB/cell. The density of states at the Fermi level comes out at 1.706 states/eV per atom. The calculation puts the volume at 380 Å³ per cell. The value obtained for the formation energy is 84.3 kJ/mol of formula units.

The space group is P6/mmm (No. 191) and the conventional cell measures 11.2242, 11.2242 and 3.4848 Å, with angles of 90.00, 90.00 and 120.00 degrees. The inequivalent atoms are Nd at (0.3333, 0.6667, 0.0000), Ho at (0.0000, 0.5000, 0.0000), Ho at (0.1733, 0.3467, 0.5000) and Er at (0.0000, 0.0000, 0.0000).

Record 7
A geometry-optimized Nd12HoEr6 structure. Source: the Alexandria database, functional PBE-GGA.

As for the energy above the lowest structure with this stoichiometry: 0.000 eV per atom. As for the magnetization: 0.01 μB/cell. The density of states at the Fermi level comes out at 1.717 states/eV per atom. The calculation puts the volume at 1952 Å³ per cell. The value obtained for the formation energy is 242.3 kJ/mol of formula units.

The space group is R-3 (No. 148, hexagonal axes) and the conventional cell measures 12.1378, 12.1378 and 15.2988 Å, with angles of 90.00, 90.00 and 120.00 degrees. The inequivalent atoms are Nd at (0.0018, 0.1737, 0.1915), Nd at (0.0475, 0.1980, 0.4161), Ho at (0.0000, 0.0000, 0.0000) and Er at (0.0168, 0.5879, 0.6876).

Record 8
A geometry-optimized NdHo6Er structure. Source: the Alexandria database, functional PBE-GGA.

As for the magnetization: 0.07 μB/cell. The density of states at the Fermi level comes out at 1.549 states/eV per atom. The calculation puts the volume at 778 Å³ per cell. The value obtained for the formation energy is 117.6 kJ/mol of formula units.

The space group is R-3 (No. 148, hexagonal axes) and the conventional cell measures 9.5838, 9.5838 and 9.7794 Å, with angles of 90.00, 90.00 and 120.00 degrees. The inequivalent atoms are Nd at (0.0000, 0.0000, 0.0000), Ho at (0.0014, 0.2966, 0.2511) and Er at (0.0000, 0.0000, 0.5000).

Record 9
A geometry-optimized Nd5Ho3Er structure. Source: the Alexandria database, functional PBE-GGA.

As for the energy above the lowest structure with this stoichiometry: 0.211 eV per atom. As for the magnetization: 0.00 μB/cell. The density of states at the Fermi level comes out at 1.417 states/eV per atom. The calculation puts the volume at 1349 Å³ per cell. The value obtained for the formation energy is 420.7 kJ/mol of formula units.

The space group is C2/m (No. 12) and the conventional cell measures 11.8980, 11.8477 and 9.9363 Å, with angles of 90.00, 105.66 and 90.00 degrees. The inequivalent atoms are Nd at (0.0000, 0.2469, 0.0000), Nd at (0.1532, 0.2499, 0.6478), Nd at (0.2418, 0.0000, 0.4190), Nd at (0.2491, 0.0000, 0.0819), Ho at (0.9999, 0.0000, 0.1755), Ho at (0.0000, 0.0000, 0.5000), Ho at (0.0000, 0.5000, 0.0000), Ho at (0.0073, 0.5000, 0.3397) and Er at (0.2387, 0.5000, 0.2339).

Record 10
A geometry-optimized Nd5Ho4Er2 structure. Source: the Alexandria database, functional PBE-GGA.

As for the energy above the lowest structure with this stoichiometry: 0.127 eV per atom. As for the magnetization: 0.00 μB/cell. The density of states at the Fermi level comes out at 1.620 states/eV per atom. The calculation puts the volume at 757 Å³ per cell. The value obtained for the formation energy is 215.6 kJ/mol of formula units.

The space group is Immm (No. 71) and the conventional cell measures 3.5211, 9.1266 and 23.5660 Å, with angles of 90.00, 90.00 and 90.00 degrees. The inequivalent atoms are Nd at (0.0000, 0.0000, 0.0000), Nd at (0.0000, 0.2989, 0.3533), Ho at (0.0000, 0.1868, 0.5000), Ho at (0.0000, 0.5000, 0.0967) and Er at (0.0000, 0.5000, 0.2302).

Record 11
A geometry-optimized Nd5Ho2Er2 structure. Source: the Alexandria database, functional PBE-GGA.

As for the energy above the lowest structure with this stoichiometry: 0.000 eV per atom. As for the magnetization: 0.00 μB/cell. The density of states at the Fermi level comes out at 1.437 states/eV per atom. The calculation puts the volume at 598 Å³ per cell. The value obtained for the formation energy is 16.8 kJ/mol of formula units.

The space group is C2/m (No. 12) and the conventional cell measures 11.4235, 5.1029 and 10.8089 Å, with angles of 90.00, 108.36 and 90.00 degrees. The inequivalent atoms are Nd at (0.0000, 0.0000, 0.0000), Nd at (0.1653, 0.5000, 0.8877), Nd at (0.1663, 0.5000, 0.5548), Ho at (0.0005, 0.0000, 0.3335) and Er at (0.1678, 0.5000, 0.2240).

Record 12
A geometry-optimized Nd2HoEr structure. Source: the Alexandria database, functional PBE-GGA.

As for the energy above the lowest structure with this stoichiometry: 0.008 eV per atom. As for the magnetization: 0.00 μB/cell. The density of states at the Fermi level comes out at 1.466 states/eV per atom. The calculation puts the volume at 132 Å³ per cell. The value obtained for the formation energy is 8.2 kJ/mol of formula units.

The space group is P4/mmm (No. 123) and the conventional cell measures 3.6082, 3.6082 and 10.1142 Å, with angles of 90.00, 90.00 and 90.00 degrees. The inequivalent atoms are Nd at (0.0000, 0.0000, 0.2494), Ho at (0.5000, 0.5000, 0.5000) and Er at (0.5000, 0.5000, 0.0000).

Record 13
A geometry-optimized Nd8Ho2Er structure. Source: the Alexandria database, functional PBE-GGA.

As for the energy above the lowest structure with this stoichiometry: 0.000 eV per atom. As for the magnetization: 0.00 μB/cell. The density of states at the Fermi level comes out at 1.625 states/eV per atom. The calculation puts the volume at 778 Å³ per cell. The value obtained for the formation energy is 169.0 kJ/mol of formula units.

The space group is C2/m (No. 12) and the conventional cell measures 10.4336, 13.5848 and 5.4912 Å, with angles of 90.00, 90.16 and 90.00 degrees. The inequivalent atoms are Nd at (0.0000, 0.2474, 0.0000), Nd at (0.1647, 0.3655, 0.5007), Nd at (0.1655, 0.0000, 0.9999), Ho at (0.0000, 0.1193, 0.5000) and Er at (0.0000, 0.5000, 0.0000).

Record 14
A geometry-optimized Nd4Ho3Er structure. Source: the Alexandria database, functional PBE-GGA.

As for the energy above the lowest structure with this stoichiometry: 0.000 eV per atom. As for the magnetization: 0.02 μB/cell. The density of states at the Fermi level comes out at 1.848 states/eV per atom. The calculation puts the volume at 534 Å³ per cell. The value obtained for the formation energy is 21.5 kJ/mol of formula units.

The space group is Pmn2_1 (No. 31) and the conventional cell measures 11.5622, 7.3233 and 6.3025 Å, with angles of 90.00, 90.00 and 90.00 degrees. The inequivalent atoms are Nd at (0.0000, 0.1281, 0.0000), Nd at (0.0000, 0.8715, 0.4991), Nd at (0.2504, 0.1286, 0.3362), Ho at (0.0000, 0.3793, 0.5015), Ho at (0.2499, 0.3794, 0.8339) and Er at (0.0000, 0.6203, 0.0015).

Record 15
A geometry-optimized Nd2Ho4Er structure. Source: the Alexandria database, functional PBE-GGA.

As for the energy above the lowest structure with this stoichiometry: 0.000 eV per atom. As for the magnetization: 0.00 μB/cell. The density of states at the Fermi level comes out at 1.292 states/eV per atom. The calculation puts the volume at 917 Å³ per cell. The value obtained for the formation energy is 72.8 kJ/mol of formula units.

The space group is C2/m (No. 12) and the conventional cell measures 14.8800, 3.6193 and 17.3830 Å, with angles of 90.00, 101.53 and 90.00 degrees. The inequivalent atoms are Nd at (0.1046, 0.0000, 0.3559), Nd at (0.1705, 0.5000, 0.1698), Ho at (0.0224, 0.0000, 0.8192), Ho at (0.1341, 0.5000, 0.7073), Ho at (0.1789, 0.5000, 0.9312), Ho at (0.1952, 0.0000, 0.5571), Er at (0.0000, 0.0000, 0.0000) and Er at (0.0000, 0.5000, 0.5000).

Record 16
A geometry-optimized Nd6Ho2Er3 structure. Source: the Alexandria database, functional PBE-GGA.

As for the energy above the lowest structure with this stoichiometry: 0.000 eV per atom. As for the magnetization: 0.00 μB/cell. The density of states at the Fermi level comes out at 1.590 states/eV per atom. The calculation puts the volume at 368 Å³ per cell. The value obtained for the formation energy is 81.4 kJ/mol of formula units.

The space group is P-1 (No. 2) and the conventional cell measures 6.1247, 6.7585 and 9.8610 Å, with angles of 88.91, 88.79 and 64.47 degrees. The inequivalent atoms are Nd at (0.0973, 0.3909, 0.3184), Nd at (0.2120, 0.2268, 0.9534), Nd at (0.2482, 0.8486, 0.2249), Ho at (0.2726, 0.0467, 0.6038), Er at (0.3443, 0.6791, 0.8677) and Er at (0.5000, 0.5000, 0.5000).

Record 17
A geometry-optimized NdHoEr6 structure. Source: the Alexandria database, functional PBE-GGA.

As for the energy above the lowest structure with this stoichiometry: 0.016 eV per atom. As for the magnetization: 0.02 μB/cell. The density of states at the Fermi level comes out at 2.090 states/eV per atom. The calculation puts the volume at 508 Å³ per cell. The value obtained for the formation energy is 176.1 kJ/mol of formula units.

The space group is C2/m (No. 12) and the conventional cell measures 6.6279, 11.7299 and 6.5317 Å, with angles of 90.00, 91.60 and 90.00 degrees. The inequivalent atoms are Nd at (0.0000, 0.0000, 0.0000), Ho at (0.0000, 0.0000, 0.5000), Er at (0.0341, 0.5000, 0.2515) and Er at (0.1746, 0.2500, 0.7452).

Record 18
A geometry-optimized Nd6Ho3Er2 structure. Source: the Alexandria database, functional PBE-GGA.

As for the energy above the lowest structure with this stoichiometry: 0.000 eV per atom. As for the magnetization: 0.00 μB/cell. The density of states at the Fermi level comes out at 1.626 states/eV per atom. The calculation puts the volume at 369 Å³ per cell. The value obtained for the formation energy is 83.7 kJ/mol of formula units.

The space group is P-1 (No. 2) and the conventional cell measures 6.1300, 6.7783 and 9.8514 Å, with angles of 89.07, 88.99 and 64.26 degrees. The inequivalent atoms are Nd at (0.0989, 0.3923, 0.3179), Nd at (0.2115, 0.2263, 0.9532), Nd at (0.2492, 0.8513, 0.2256), Ho at (0.3433, 0.6794, 0.8673), Ho at (0.5000, 0.5000, 0.5000) and Er at (0.2706, 0.0469, 0.6025).

Record 19
A geometry-optimized Nd2Ho6Er structure. Source: the Alexandria database, functional PBE-GGA.

As for the energy above the lowest structure with this stoichiometry: 0.092 eV per atom. As for the magnetization: 0.00 μB/cell. The density of states at the Fermi level comes out at 1.276 states/eV per atom. The calculation puts the volume at 1160 Å³ per cell. The value obtained for the formation energy is 98.5 kJ/mol of formula units.

The space group is C2/c (No. 15) and the conventional cell measures 12.7878, 14.2552 and 6.5594 Å, with angles of 90.00, 104.12 and 90.00 degrees. The inequivalent atoms are Nd at (0.1438, 0.0255, 0.3739), Ho at (0.0359, 0.1884, 0.0041), Ho at (0.1314, 0.4093, 0.8143), Ho at (0.2401, 0.2012, 0.7296) and Er at (0.0000, 0.3828, 0.2500).